DFT (PBE-GGA) results for an optimized crystal structure of Y2FeI.

Properties
Space-group type: No. 166
Raw formation energy (eV/atom): 0.3915
Polymorph energy (0 for the lowest one) (meV per atom): 198

abc: 10.2066 10.2066 10.2066
angles: 20.35 20.35 20.35
Fractional positions:
Y  0.0826  0.0826  0.0826
Y  0.9174  0.9174  0.9174
Fe  0.0000  0.0000  0.0000
I  0.5000  0.5000  0.5000